# 1
PrNbTe | PBE | optimized geometry

The structure in CIF format:
```
data_PrNbTe
_symmetry_space_group_name_H-M 'F -4 3 m'
_symmetry_Int_Tables_number 216
_symmetry_space_group_name_Hall 'F -4 2 3'
_cell_length_a 7.379
_cell_length_b 7.379
_cell_length_c 7.379
_cell_angle_alpha 90.00
_cell_angle_beta 90.00
_cell_angle_gamma 90.00
loop_
_atom_site_label
_atom_site_type_symbol
_atom_site_fract_x
_atom_site_fract_y
_atom_site_fract_z
Pr1 Pr 0.000 0.000 0.000
Nb1 Nb 0.250 0.250 0.750
Te1 Te 0.250 0.250 0.250
```

Calculated values
- calculated total energy (eV per atom) = -5.315
- volume (Å³ per cell) = 401.8
- distance to the lowest polymorph of the same formula (eV per formula unit) = 1.78



# 2
LiPdWAu | PBE | optimized geometry

The structure in CIF format:
```
data_LiPdWAu
_symmetry_space_group_name_H-M 'F -4 3 m'
_symmetry_Int_Tables_number 216
_symmetry_space_group_name_Hall 'F -4 2 3'
_cell_length_a 6.290
_cell_length_b 6.290
_cell_length_c 6.290
_cell_angle_alpha 90.00
_cell_angle_beta 90.00
_cell_angle_gamma 90.00
loop_
_atom_site_label
_atom_site_type_symbol
_atom_site_fract_x
_atom_site_fract_y
_atom_site_fract_z
Li1 Li 0.000 0.000 0.000
Pd1 Pd 0.250 0.250 0.250
W1 W 0.000 0.000 0.500
Au1 Au 0.250 0.250 0.750
```

Calculated values
- calculated total energy (eV per atom) = -5.652
- volume (Å³ per cell) = 248.9
- distance to the lowest polymorph of the same formula (eV per formula unit) = 0.00



# 3
Ho3AsS2 | PBE | optimized geometry

The structure in CIF format:
```
data_Ho3AsS2
_symmetry_space_group_name_H-M 'P -3 m 1'
_symmetry_Int_Tables_number 164
_symmetry_space_group_name_Hall '-P 3 2"'
_cell_length_a 3.9688
_cell_length_b 3.9688
_cell_length_c 9.6277
_cell_angle_alpha 90.00
_cell_angle_beta 90.00
_cell_angle_gamma 120.00
loop_
_atom_site_label
_atom_site_type_symbol
_atom_site_fract_x
_atom_site_fract_y
_atom_site_fract_z
Ho1 Ho 0.0000 0.0000 0.0000
Ho2 Ho 0.3333 0.6667 0.3279
As1 As 0.0000 0.0000 0.5000
S1 S 0.3333 0.6667 0.8389
```

Calculated values
- calculated total energy (eV per atom) = -6.280
- volume (Å³ per cell) = 131.3



# 4
NdGaAg2Ge | PBE | optimized geometry

The structure in CIF format:
```
data_NdGaAg2Ge
_symmetry_space_group_name_H-M 'P 4/n m m'
_symmetry_Int_Tables_number 129
_cell_length_a 4.322
_cell_length_b 4.322
_cell_length_c 11.184
_cell_angle_alpha 90.00
_cell_angle_beta 90.00
_cell_angle_gamma 90.00
loop_
_symmetry_equiv_pos_as_xyz
'x,y,z'
'-x,-y,-z'
'-y+1/2,x,z'
'y+1/2,-x,-z'
'-x+1/2,-y+1/2,z'
'x+1/2,y+1/2,-z'
'y,-x+1/2,z'
'-y,x+1/2,-z'
'x+1/2,-y,-z'
'-x+1/2,y,z'
'-y,-x,-z'
'y,x,z'
'-x,y+1/2,-z'
'x,-y+1/2,z'
'y+1/2,x+1/2,-z'
'-y+1/2,-x+1/2,z'
loop_
_atom_site_label
_atom_site_type_symbol
_atom_site_fract_x
_atom_site_fract_y
_atom_site_fract_z
Nd1 Nd 0.250 0.250 0.243
Ga1 Ga 0.250 0.750 0.500
Ag1 Ag 0.250 0.250 0.634
Ag2 Ag 0.250 0.750 0.000
Ge1 Ge 0.250 0.250 0.858
```

Calculated values
- calculated total energy (eV per atom) = -4.010
- volume (Å³ per cell) = 208.9